No. 1
K3La: optimized geometry, PBE.

Unit cell a=3.9078 b=3.9078 c=14.8535 alpha=90.00 beta=90.00 gamma=90.00
Positions (direct):
K 0.0000 0.0000 0.9801
K 0.0000 0.0000 0.5199
K 0.5000 0.5000 0.2500
La 0.5000 0.5000 0.7500

Results
**E**: -1.76 eV/atom
**V**: 56.71 Å³/atom
**Size of the total moment**: 0.004 μB/f.u.
**DOS(E_F)**: 4.267 states/eV/f.u.
**Energy relative to the elements**: 0.29 eV/atom

***

No. 2
La2Pr2Er5: optimized geometry, PBE.

Unit cell a=12.0194 b=6.7594 c=10.2136 alpha=109.32 beta=126.04 gamma=90.00
Positions (direct):
Er 0.9907 0.1606 0.5000
Er 0.2019 0.6469 0.8937
Er 0.8082 0.2532 0.1063
Er 0.7981 0.7532 0.1063
Er 0.3740 0.0338 0.2845
Er 0.1918 0.1469 0.8937
Er 0.5895 0.2493 0.7155
Er 0.0093 0.6606 0.5000
Er 0.4105 0.5339 0.2845
Er 0.6260 0.7493 0.7155
Pr 0.2574 0.3541 0.5000
Pr 0.5000 0.5184 0.0000
Pr 0.0000 0.0184 0.0000
Pr 0.7426 0.8541 0.5000
La 0.1283 0.6871 0.2545
La 0.8717 0.4326 0.7455
La 0.6262 0.1871 0.2545
La 0.3738 0.9326 0.7455

Results
**Excess energy over the best structure of this formula in the dataset**: 49.1 meV per atom
**E**: -4.50 eV/atom
**V**: 34.01 Å³/atom
**Size of the total moment**: 0.000 μB/f.u.
**DOS(E_F)**: 15.102 states/eV/f.u.
**Energy relative to the elements**: 0.19 eV/atom

***

No. 3
LaDyAlCu: optimized geometry, PBE.

Unit cell a=5.1809 b=5.1809 c=5.1809 alpha=60.00 beta=60.00 gamma=60.00
Positions (direct):
La 0.5000 0.5000 0.5000
Cu 0.2500 0.2500 0.2500
Al 0.7500 0.7500 0.7500
Dy 0.0000 0.0000 0.0000

Results
**E**: -4.57 eV/atom
**V**: 24.58 Å³/atom
**Size of the total moment**: 0.000 μB/f.u.
**DOS(E_F)**: 4.315 states/eV/f.u.
**Energy relative to the elements**: -0.23 eV/atom